SCAN KRb2TlBr6, single point on PBEsol structure; Fermi-level density of states = 0.00 states/eV per cell; symmetry = Fm-3m; V = 38.3 Å³ per atom; crystal system = cubic; formation energy (no corrections) = -1.3443 eV/atom; calculated density = 3.88 g cm⁻³
1.0
0.0000 5.7634 5.7634
5.7634 0.0000 5.7634
5.7634 5.7634 0.0000
K Rb Tl Br
1 2 1 6
Cartesian
0.0000 0.0000 0.0000 K
2.8817 2.8817 2.8817 Rb
8.6451 8.6451 8.6451 Rb
5.7634 5.7634 5.7634 Tl
5.7634 5.7634 3.0401 Br
5.7634 3.0401 5.7634 Br
8.4867 5.7634 5.7634 Br
3.0401 5.7634 5.7634 Br
5.7634 8.4867 5.7634 Br
5.7634 5.7634 8.4867 Br